The following is a DFT calculation (PBE-GGA) of an optimized crystal structure of BaErCuO3.

Geometry as CIF:
```
data_BaErCuO3
_cell_length_a 3.702
_cell_length_b 13.284
_cell_length_c 8.439
_cell_angle_alpha 90.00
_cell_angle_beta 90.00
_cell_angle_gamma 90.00
_space_group_name_H-M_alt 'C m c m'
_space_group_IT_number 63
_space_group_name_Hall '-C 2c 2'
loop_
_atom_site_label
_atom_site_fract_x
_atom_site_fract_y
_atom_site_fract_z
Ba1 0.000 0.193 0.250
Er1 0.000 0.500 0.000
Cu1 0.000 0.105 0.750
O1 0.000 0.108 0.534
O2 0.000 0.440 0.750
```



The following is a DFT calculation (PBE-GGA) of an optimized crystal structure of Ba2Er2CuPtO8.

Geometry as CIF:
```
data_Ba2Er2CuPtO8
_cell_length_a 13.318
_cell_length_b 5.708
_cell_length_c 10.409
_cell_angle_alpha 90.00
_cell_angle_beta 90.00
_cell_angle_gamma 90.00
_space_group_name_H-M_alt 'P n m a'
_space_group_IT_number 62
_space_group_name_Hall '-P 2ac 2n'
loop_
_atom_site_label
_atom_site_fract_x
_atom_site_fract_y
_atom_site_fract_z
Ba1 0.076 0.250 0.090
Ba2 0.207 0.750 0.312
Er1 0.083 0.250 0.485
Er2 0.142 0.750 0.685
Cu1 0.040 0.250 0.765
Pt1 0.195 0.750 0.965
O1 0.009 0.006 0.634
O2 0.088 0.750 0.106
O3 0.114 0.509 0.857
O4 0.203 0.250 0.312
O5 0.215 0.009 0.554
```



The following is a DFT calculation (PBE-GGA) of an optimized crystal structure of Ba3Er2Cu2PtO10.

Geometry as CIF:
```
data_Ba3Er2Cu2PtO10
_cell_length_a 12.541
_cell_length_b 5.857
_cell_length_c 7.497
_cell_angle_alpha 90.00
_cell_angle_beta 105.76
_cell_angle_gamma 90.00
_space_group_name_H-M_alt 'C 1 2/m 1'
_space_group_IT_number 12
_space_group_name_Hall '-C 2y'
loop_
_atom_site_label
_atom_site_fract_x
_atom_site_fract_y
_atom_site_fract_z
Ba1 0.000 0.000 0.000
Ba2 0.154 0.000 0.545
Er1 0.189 0.500 0.874
Cu1 0.089 0.500 0.198
Pt1 0.000 0.500 0.500
O1 0.018 0.280 0.720
O2 0.168 0.500 0.555
O3 0.184 0.272 0.123
```



The following is a DFT calculation (PBE-GGA) of an optimized crystal structure of BaSrErCu3O7.

Geometry as CIF:
```
data_BaSrErCu3O7
_cell_length_a 3.764
_cell_length_b 3.896
_cell_length_c 11.702
_cell_angle_alpha 90.00
_cell_angle_beta 90.00
_cell_angle_gamma 90.00
_space_group_name_H-M_alt 'P m m 2'
_space_group_IT_number 25
_space_group_name_Hall 'P 2 -2'
loop_
_atom_site_label
_atom_site_fract_x
_atom_site_fract_y
_atom_site_fract_z
Ba1 0.000 0.000 0.000
Sr1 0.000 0.000 0.640
Er1 0.000 0.000 0.324
Cu1 0.500 0.500 0.177
Cu2 0.500 0.500 0.473
Cu3 0.500 0.500 0.815
O1 0.000 0.500 0.205
O2 0.000 0.500 0.442
O3 0.500 0.000 0.202
O4 0.500 0.000 0.447
O5 0.500 0.000 0.805
O6 0.500 0.500 0.655
O7 0.500 0.500 0.975
```



The following is a DFT calculation (PBE-GGA) of an optimized crystal structure of BaEr2CuS4.

Geometry as CIF:
```
data_BaEr2CuS4
_cell_length_a 3.982
_cell_length_b 13.319
_cell_length_c 13.542
_cell_angle_alpha 90.00
_cell_angle_beta 90.00
_cell_angle_gamma 90.00
_space_group_name_H-M_alt 'C m c m'
_space_group_IT_number 63
_space_group_name_Hall '-C 2c 2'
loop_
_atom_site_label
_atom_site_fract_x
_atom_site_fract_y
_atom_site_fract_z
Ba1 0.000 0.114 0.250
Er1 0.000 0.372 0.057
Cu1 0.000 0.156 0.750
S1 0.000 0.000 0.000
S2 0.000 0.264 0.613
S3 0.000 0.433 0.250
```



The following is a DFT calculation (PBE-GGA) of an optimized crystal structure of BaErCuS3.

Geometry as CIF:
```
data_BaErCuS3
_cell_length_a 4.005
_cell_length_b 13.606
_cell_length_c 10.188
_cell_angle_alpha 90.00
_cell_angle_beta 90.00
_cell_angle_gamma 90.00
_space_group_name_H-M_alt 'C m c m'
_space_group_IT_number 63
_space_group_name_Hall '-C 2c 2'
loop_
_atom_site_label
_atom_site_fract_x
_atom_site_fract_y
_atom_site_fract_z
Ba1 0.000 0.245 0.250
Er1 0.000 0.500 0.000
Cu1 0.000 0.031 0.750
S1 0.000 0.130 0.562
S2 0.000 0.434 0.750
```



| no. | size of the total moment (μB/f.u.) | uncorrected formation energy (eV per atom) |
| --- | --- | --- |
| 1 | 0.000 | -2.41 |
| 2 | 1.048 | -2.29 |
| 3 | 2.004 | -2.15 |
| 4 | 0.000 | -1.83 |
| 5 | 0.000 | -1.74 |
| 6 | 0.000 | -1.71 |